The following is a DFT calculation (PBE with a Hubbard U) of a geometry-optimized CrAu2NO structure.

Computed properties:
volume: 76 Å³/f.u.
SG: P4/mmm, No. 123
density of states at the Fermi level: 1.814 states/eV/cell
total energy: -4.8307 eV/atom

abc: 4.2286 4.2610 4.2286
angles: 90.00 90.00 90.00
Atoms (fractional coordinates):
Cr1 0.0000 0.5000 0.0000
N1 0.0000 0.0000 0.0000
Au1 0.5000 0.0000 0.0000
Au2 0.0000 0.0000 0.5000
O1 0.5000 0.5000 0.5000